Record 1
# Mg2SbF

A geometry-optimized Mg2SbF structure (PBE-GGA, Alexandria).

Cell: 6.748 6.748 6.748 Å, 90.00 90.00 90.00°
Space group Fm-3m (No. 225)
Asymmetric unit:
Mg 0.250 0.250 0.250 [8 per cell]
Sb 0.000 0.000 0.000 [4 per cell]
F 0.000 0.000 0.500 [4 per cell]

The uncorrected formation energy is -1.08 eV/atom. The polymorph energy (0 for the lowest one) is 389.1 meV/atom. Its volume is 19.2 Å³ per atom.

***

Record 2
# InBi

A geometry-optimized InBi structure (PBE-GGA, Alexandria).

Cell: 9.5318 9.5318 5.0052 Å, 90.00 90.00 120.00°
Space group P6_3/m (No. 176)
Asymmetric unit:
In 0.0918 0.8419 0.2500 [6 per cell]
Bi 0.1069 0.6106 0.7500 [6 per cell]

The calculation puts the energy of formation from the pure elements at 76 meV per atom. Its volume is 32.8 Å³ per atom.

***

Record 3
# Pr2Sm5Er2

A geometry-optimized Pr2Sm5Er2 structure (PBE-GGA, Alexandria).

Cell: 15.001 12.001 6.804 Å, 90.00 90.00 90.00°
Space group Ima2 (No. 46)
Asymmetric unit:
Pr 0.000 0.000 0.000 [4 per cell]
Pr 0.250 0.003 0.061 [4 per cell]
Sm 0.052 0.747 0.174 [8 per cell]
Sm 0.143 0.231 0.858 [8 per cell]
Sm 0.250 0.734 0.872 [4 per cell]
Er 0.126 0.005 0.525 [8 per cell]

The polymorph energy (0 for the lowest one) is 113.8 meV/atom. The calculation puts the energy of formation from the pure elements at 208 meV per atom. Its volume is 34.0 Å³ per atom.

***

Record 4
# Hg2AuCl

A geometry-optimized Hg2AuCl structure (PBE-GGA, Alexandria).

Cell: 5.028 11.032 4.267 Å, 90.00 90.00 90.00°
Space group Cmmm (No. 65)
Asymmetric unit:
Hg 0.000 0.180 0.000 [4 per cell]
Au 0.000 0.000 0.500 [2 per cell]
Cl 0.000 0.500 0.500 [2 per cell]

The uncorrected formation energy is -0.09 eV/atom. The polymorph energy (0 for the lowest one) is 31.5 meV/atom. Its volume is 29.6 Å³ per atom.

***

Q: Which of these has the lowest volume?
A: Mg2SbF

***

Q: The highest volume belongs to which entry?
A: Pr2Sm5Er2